# 1
K17Rb11Mg: optimized geometry, PBE.

```
K17Rb11Mg
1.0
-11.2760 2.2554 8.8505
-2.5623 -11.4156 -8.5840
10.8542 -2.8258 7.6407
K Rb Mg
17 11 1
Direct
0.0181 0.3169 0.5991 K
0.6949 0.6949 0.2950 K
0.4190 0.7206 0.4059 K
0.3647 0.9700 0.9770 K
0.0007 0.5870 0.3231 K
0.5721 0.3258 0.0262 K
0.0013 0.0013 0.3552 K
0.3169 0.0181 0.5991 K
0.9606 0.9606 0.9834 K
0.7206 0.4190 0.4059 K
0.5870 0.0007 0.3231 K
0.2779 0.6613 0.6620 K
0.6255 0.6255 0.6184 K
0.3258 0.5721 0.0262 K
0.6613 0.2779 0.6620 K
0.9700 0.3647 0.9770 K
0.3799 0.3799 0.7024 K
0.1884 0.3696 0.3148 Rb
0.3696 0.1884 0.3148 Rb
0.8152 0.1909 0.1984 Rb
0.2140 0.2140 0.9246 Rb
0.6072 0.7957 0.9930 Rb
0.0192 0.8299 0.6340 Rb
0.0083 0.6118 0.8002 Rb
0.7957 0.6072 0.9930 Rb
0.8299 0.0192 0.6340 Rb
0.1909 0.8152 0.1984 Rb
0.6118 0.0083 0.8002 Rb
0.4536 0.4536 0.2537 Mg
```

Output
energy of formation: 0.040 eV/atom
volume: 2251.8 Å³ per cell
M_tot: 0.000 μB per formula unit

***

# 2
Ce6Tc3Ge: optimized geometry, PBE.

```
Ce6Tc3Ge
1.0
-3.6800 1.9460 0.3626
-3.1298 -7.3908 7.9006
5.1726 8.8312 5.1027
Tc Ce Ge
6 12 2
Direct
0.7500 0.6944 0.5092 Tc
0.2500 0.3056 0.4908 Tc
0.7500 0.4849 0.8305 Tc
0.2500 0.5151 0.1695 Tc
0.7500 0.1517 0.1216 Tc
0.2500 0.8483 0.8784 Tc
0.2500 0.8887 0.5482 Ce
0.2500 0.2200 0.2515 Ce
0.2500 0.2793 0.7424 Ce
0.7500 0.1113 0.4518 Ce
0.2500 0.0788 0.9114 Ce
0.7500 0.4536 0.6050 Ce
0.7500 0.9212 0.0886 Ce
0.2500 0.5464 0.3950 Ce
0.7500 0.3858 0.0543 Ce
0.2500 0.6142 0.9457 Ce
0.7500 0.7800 0.7485 Ce
0.7500 0.7207 0.2576 Ce
0.2500 0.9319 0.2908 Ge
0.7500 0.0681 0.7092 Ge
```

Output
energy of formation: -0.111 eV/atom
volume: 510.0 Å³ per cell
M_tot: 1.437 μB per formula unit